Density functional theory data (meta-GGA SCAN) for a crystal of YMgTe2N relaxed with PBEsol.

Values from the calculation:
Theoretical density   4438 kg/m3
Calculated total energy   -0.858 Ha/atom
Crystal system   tetragonal
DOS(E_F)   3.30 states/eV/cell
Formation energy (no corrections)   -0.022 eV per atom

Cell: 5.949 5.949 4.043 Å, 90.00 90.00 90.00°
Space group P4/mmm (No. 123)
Inequivalent atoms, fractional coordinates:
Y 0.000 0.000 0.000 (multiplicity 1)
Mg 0.500 0.500 0.500 (multiplicity 1)
Te 0.000 0.500 0.000 (multiplicity 2)
N 0.000 0.000 0.500 (multiplicity 1)

=====

Density functional theory data (meta-GGA SCAN) for a crystal of YScSn2 relaxed with PBEsol.

Values from the calculation:
Theoretical density   6371 kg/m3
Calculated total energy   -1.069 Ha/atom
Formation energy from the elements   -0.596 eV/atom
Crystal system   cubic
DOS(E_F)   18.68 states/eV/cell

Cell: 7.288 7.288 7.288 Å, 90.00 90.00 90.00°
Space group Fm-3m (No. 225)
Inequivalent atoms, fractional coordinates:
Y 0.000 0.000 0.000 (multiplicity 4)
Sc 0.000 0.000 0.500 (multiplicity 4)
Sn 0.250 0.250 0.250 (multiplicity 8)

=====

Density functional theory data (meta-GGA SCAN) for a crystal of MgNiPt2 relaxed with PBEsol.

Values from the calculation:
Theoretical density   14007 kg/m3
Calculated total energy   -1.504 Ha/atom
Formation energy from the elements   -0.548 eV/atom
Crystal system   orthorhombic
DOS(E_F)   1.84 states/eV/cell

Cell: 2.782 3.613 5.581 Å, 90.00 90.00 90.00°
Space group Pmmm (No. 47)
Inequivalent atoms, fractional coordinates:
Mg 0.000 0.000 0.000 (multiplicity 1)
Ni 0.000 0.000 0.500 (multiplicity 1)
Pt 0.500 0.500 0.261 (multiplicity 2)

=====

Density functional theory data (meta-GGA SCAN) for a crystal of Ti2NbGaAg relaxed with PBEsol.

Values from the calculation:
Theoretical density   5655 kg/m3
Calculated total energy   -0.798 Ha/atom
Formation energy from the elements   0.873 eV/atom
Crystal system   tetragonal
DOS(E_F)   3.28 states/eV/cell

Cell: 4.645 4.645 4.983 Å, 90.00 90.00 90.00°
Space group P4/mmm (No. 123)
Inequivalent atoms, fractional coordinates:
Ti 0.000 0.500 0.000 (multiplicity 2)
Nb 0.000 0.000 0.000 (multiplicity 1)
Ga 0.000 0.000 0.500 (multiplicity 1)
Ag 0.500 0.500 0.500 (multiplicity 1)

=====

Density functional theory data (meta-GGA SCAN) for a crystal of SnHIN2 relaxed with PBEsol.

Values from the calculation:
Theoretical density   4434 kg/m3
Calculated total energy   -0.636 Ha/atom
Crystal system   tetragonal
DOS(E_F)   2.56 states/eV/cell

Cell: 3.991 3.991 6.458 Å, 90.00 90.00 90.00°
Space group P4/mmm (No. 123)
Inequivalent atoms, fractional coordinates:
Sn 0.000 0.000 0.000 (multiplicity 1)
H 0.500 0.500 0.500 (multiplicity 1)
I 0.000 0.000 0.500 (multiplicity 1)
N 0.000 0.500 0.000 (multiplicity 2)

=====

Density functional theory data (meta-GGA SCAN) for a crystal of TaBe2BiC relaxed with PBEsol.

Values from the calculation:
Theoretical density   10165 kg/m3
Calculated total energy   -1.185 Ha/atom
Formation energy from the elements   0.554 eV/atom
Crystal system   tetragonal
DOS(E_F)   2.54 states/eV/cell

Cell: 3.985 3.985 4.320 Å, 90.00 90.00 90.00°
Space group P4/mmm (No. 123)
Inequivalent atoms, fractional coordinates:
Ta 0.000 0.000 0.000 (multiplicity 1)
Be 0.000 0.500 0.500 (multiplicity 2)
Bi 0.500 0.500 0.000 (multiplicity 1)
C 0.000 0.000 0.500 (multiplicity 1)

=====

Density functional theory data (meta-GGA SCAN) for a crystal of TaCd5 relaxed with PBEsol.

Values from the calculation:
Theoretical density   10177 kg/m3
Calculated total energy   -1.319 Ha/atom
Formation energy from the elements   0.541 eV/atom
Crystal system   cubic
DOS(E_F)   16.79 states/eV/cell

Cell: 7.856 7.856 7.856 Å, 90.00 90.00 90.00°
Space group F-43m (No. 216)
Inequivalent atoms, fractional coordinates:
Ta 0.000 0.000 0.000 (multiplicity 4)
Cd 0.126 0.126 0.374 (multiplicity 16)
Cd 0.250 0.250 0.750 (multiplicity 4)

=====

Density functional theory data (meta-GGA SCAN) for a crystal of K3BaPb relaxed with PBEsol.

Values from the calculation:
Theoretical density   2491 kg/m3
Calculated total energy   -1.028 Ha/atom
Formation energy from the elements   0.084 eV/atom
Crystal system   cubic
DOS(E_F)   5.59 states/eV/cell

Cell: 6.752 6.752 6.752 Å, 90.00 90.00 90.00°
Space group Pm-3m (No. 221)
Inequivalent atoms, fractional coordinates:
K 0.000 0.000 0.500 (multiplicity 3)
Ba 0.500 0.500 0.500 (multiplicity 1)
Pb 0.000 0.000 0.000 (multiplicity 1)

=====

Density functional theory data (meta-GGA SCAN) for a crystal of Li6CoOF6 relaxed with PBEsol.

Values from the calculation:
Theoretical density   3335 kg/m3
Calculated total energy   -0.259 Ha/atom
Crystal system   tetragonal
DOS(E_F)   2.55 states/eV/cell
Formation energy (no corrections)   -2.836 eV per atom

Cell: 2.823 2.823 28.814 Å, 90.00 90.00 90.00°
Space group I4/mmm (No. 139)
Inequivalent atoms, fractional coordinates:
Li 0.000 0.000 0.075 (multiplicity 4)
Li 0.000 0.000 0.215 (multiplicity 4)
Li 0.000 0.000 0.354 (multiplicity 4)
Co 0.000 0.000 0.500 (multiplicity 2)
O 0.000 0.000 0.000 (multiplicity 2)
F 0.000 0.000 0.146 (multiplicity 4)
F 0.000 0.000 0.285 (multiplicity 4)
F 0.000 0.000 0.423 (multiplicity 4)

=====

Density functional theory data (meta-GGA SCAN) for a crystal of SrPdN2 relaxed with PBEsol.

Values from the calculation:
Theoretical density   5937 kg/m3
Calculated total energy   -0.644 Ha/atom
Crystal system   trigonal
DOS(E_F)   6.53 states/eV/cell
Formation energy (no corrections)   0.872 eV per atom

Cell: 3.3940 3.3940 18.6782 Å, 90.00 90.00 120.00°
Space group R-3m (No. 166, hexagonal axes)
Inequivalent atoms, fractional coordinates:
Sr 0.0000 0.0000 0.0000 (multiplicity 3)
Pd 0.0000 0.0000 0.5000 (multiplicity 3)
N 0.0000 0.0000 0.1252 (multiplicity 6)

=====

Density functional theory data (meta-GGA SCAN) for a crystal of La2ZnAs relaxed with PBEsol.

Values from the calculation:
Theoretical density   6782 kg/m3
Calculated total energy   -1.136 Ha/atom
Formation energy from the elements   -0.939 eV/atom
Crystal system   orthorhombic
DOS(E_F)   5.48 states/eV/cell

Cell: 4.140 4.380 11.291 Å, 90.00 90.00 90.00°
Space group Amm2 (No. 38)
Inequivalent atoms, fractional coordinates:
La 0.000 0.000 0.000 (multiplicity 2)
La 0.500 0.000 0.286 (multiplicity 2)
Zn 0.000 0.000 0.716 (multiplicity 2)
As 0.500 0.000 0.566 (multiplicity 2)

=====

Density functional theory data (meta-GGA SCAN) for a crystal of CrWOF2 relaxed with PBEsol.

Values from the calculation:
Theoretical density   7105 kg/m3
Calculated total energy   -0.784 Ha/atom
Crystal system   tetragonal
DOS(E_F)   2.73 states/eV/cell
Formation energy (no corrections)   -1.051 eV per atom

Cell: 4.207 4.207 3.827 Å, 90.00 90.00 90.00°
Space group P4/mmm (No. 123)
Inequivalent atoms, fractional coordinates:
Cr 0.000 0.000 0.000 (multiplicity 1)
W 0.500 0.500 0.500 (multiplicity 1)
O 0.500 0.500 0.000 (multiplicity 1)
F 0.000 0.500 0.500 (multiplicity 2)